1.
A plane-wave DFT calculation with PBE was carried out for a geometry-optimized Nd8AlSn6 structure.

abc: 9.4269 9.4269 8.4377
angles: 56.04 56.04 60.00
With the nearest neighbours (Å) after each atom.
Positions (direct):
Sn 0.5589 0.9332 0.2137  7 Nd 3.14-3.39
Sn 0.7057 0.4411 0.7863  7 Nd 3.14-3.39
Sn 0.4411 0.0668 0.7863  7 Nd 3.14-3.39
Sn 0.2943 0.5589 0.2137  7 Nd 3.14-3.39
Sn 0.9332 0.2943 0.2137  7 Nd 3.14-3.39
Sn 0.0668 0.7057 0.7863  7 Nd 3.14-3.39
Nd 0.8954 0.6299 0.2915  5 Sn 3.14-3.39, 1 Al 3.22
Nd 0.6672 0.6672 0.9984  6 Sn 3.26-3.33
Nd 0.8168 0.1046 0.7085  5 Sn 3.14-3.39, 1 Al 3.22
Nd 0.3328 0.3328 0.0016  6 Sn 3.26-3.33
Nd 0.1046 0.3701 0.7085  5 Sn 3.14-3.39, 1 Al 3.22
Nd 0.6299 0.1832 0.2915  5 Sn 3.14-3.39, 1 Al 3.22
Nd 0.1832 0.8954 0.2915  5 Sn 3.14-3.39, 1 Al 3.22
Nd 0.3701 0.8168 0.7085  5 Sn 3.14-3.39, 1 Al 3.22
Al 0.0000 0.0000 0.0000  6 Nd 3.22

## Properties
Symmetry: R-3
Energy of formation from the pure elements (eV/atom): -0.54
DOS at the Fermi energy (states/eV per cell): 8.51
Theoretical density (Mg/m³): 6.34

***

2.
A plane-wave DFT calculation with PBE was carried out for a geometry-optimized NdAlSn structure.

abc: 4.3227 4.5369 4.5369
angles: 120.00 90.00 90.00
With the nearest neighbours (Å) after each atom.
Positions (direct):
Al 0.1002 0.0000 0.0000  3 Sn 2.67
Nd 0.6796 0.6667 0.3333  3 Al 3.19, 6 Sn 3.29-3.51
Sn 0.2202 0.3333 0.6667  3 Al 2.67

## Properties
Symmetry: P3m1
Energy of formation from the pure elements (eV/atom): -0.54
DOS at the Fermi energy (states/eV per cell): 0.48
Theoretical density (Mg/m³): 6.25

***

Question: What is the formula in the first record?
Answer: Nd8AlSn6